Entry 1:
Rb2ZrAuBr6 | PBE | optimized geometry

```
Rb2ZrAuBr6
1.0
-7.635 -0.145 -2.824
1.811 -6.495 -4.563
-4.418 -6.723 0.553
Br Rb Zr Au
6 2 1 1
Direct
0.269 0.731 0.000
0.731 0.269 0.000
0.264 0.264 0.473
0.736 0.736 0.527
0.731 0.731 0.000
0.269 0.269 0.000
0.250 0.750 0.500
0.750 0.250 0.500
0.500 0.500 0.000
0.000 0.000 0.000
```

Output
The space-group type is I4/mmm (139). The value obtained for the total energy is -0.261 Ry per atom. As for the uncorrected formation energy: -11.7 eV/f.u.


Entry 2:
Ac2CeErS4 | PBE | optimized geometry

```
Ac2CeErS4
1.0
-3.485 -0.816 -1.951
0.031 -6.580 2.695
-3.570 4.375 4.549
S Ac Ce Er
4 2 1 1
Direct
0.500 0.233 0.220
0.500 0.767 0.780
0.000 0.251 0.775
0.000 0.749 0.225
0.500 0.000 0.500
0.000 0.500 0.500
0.500 0.500 0.000
0.000 0.000 0.000
```

Output
The space-group type is P2/m (10). The value obtained for the total energy is -0.469 Ry per atom. As for the uncorrected formation energy: -15.9 eV/f.u.


Entry 3:
Tb5PrNd3 | PBE | optimized geometry

```
Tb5PrNd3
1.0
6.403 0.000 0.000
-3.202 10.808 -5.350
0.000 -3.687 10.972
Tb Nd Pr
10 6 2
Direct
0.603 0.000 0.250
0.995 0.340 0.456
0.116 0.652 0.872
0.656 0.660 0.044
0.536 0.652 0.372
0.884 0.348 0.128
0.397 0.000 0.750
0.344 0.340 0.956
0.464 0.348 0.628
0.005 0.660 0.544
0.835 0.315 0.798
0.480 0.315 0.298
0.000 0.000 0.000
0.000 0.000 0.500
0.520 0.685 0.702
0.165 0.685 0.202
0.131 0.000 0.250
0.869 0.000 0.750
```

Output
The space-group type is C2/c (15). The calculation puts the formation enthalpy at 0 K at 249 kJ/mol of formula units. The calculation puts the energy above the most stable polymorph in this dataset at 0.0 kJ per mole of atoms. The value obtained for the total energy is -0.324 Ry per atom.